## a
{
  "formula": "Al2InB",
  "functional": "PBE",
  "state": "optimized geometry",
  "dos_ef_per_ev_atom": 0.196,
  "crystal_system": "tetragonal",
  "lattice": [[-2.4205, -5.4961, 1.2468], [5.3850, -1.8552, 2.2762], [0.2767, -2.2306, 5.7912]],
  "species": ["Al", "Al", "Al", "Al", "In", "In", "B", "B"],
  "fractional_positions": [[0.3750, 0.5001, 0.7500], [0.8750, 0.7499, 0.7500], [0.2501, 0.6250, 0.2500], [0.4999, 0.1250, 0.2500], [0.0000, 0.0000, 0.0000], [0.7500, 0.2500, 0.5000], [0.5000, 0.5000, 0.0000], [0.2500, 0.7500, 0.5000]]
}

***

## b
{
  "formula": "Al2InB",
  "functional": "PBE",
  "state": "optimized geometry",
  "dos_ef_per_ev_atom": 0.564,
  "crystal_system": "cubic",
  "lattice": [[0.0000, 3.2380, 3.2380], [3.2380, 0.0000, 3.2380], [3.2380, 3.2380, 0.0000]],
  "species": ["Al", "Al", "In", "B"],
  "fractional_positions": [[0.2500, 0.2500, 0.2500], [0.7500, 0.7500, 0.7500], [0.5000, 0.5000, 0.5000], [0.0000, 0.0000, 0.0000]]
}

***

Most stable of them? a.

***

## a
{
  "formula": "AlInB3",
  "functional": "PBE",
  "state": "optimized geometry",
  "dos_ef_per_ev_atom": 0.602,
  "crystal_system": "cubic",
  "lattice": [[4.2411, 0.0000, 0.0000], [0.0000, 4.2411, 0.0000], [0.0000, 0.0000, 4.2411]],
  "species": ["Al", "B", "B", "B", "In"],
  "fractional_positions": [[0.0000, 0.0000, 0.0000], [0.5000, 0.0000, 0.0000], [0.0000, 0.0000, 0.5000], [0.0000, 0.5000, 0.0000], [0.5000, 0.5000, 0.5000]]
}

***

## b
{
  "formula": "AlInB3",
  "functional": "PBE",
  "state": "optimized geometry",
  "dos_ef_per_ev_atom": 0.747,
  "crystal_system": "cubic",
  "lattice": [[4.5034, 0.0000, 0.0000], [0.0000, 4.5034, 0.0000], [0.0000, 0.0000, 4.5034]],
  "species": ["Al", "In", "B", "B", "B"],
  "fractional_positions": [[0.5000, 0.5000, 0.5000], [0.0000, 0.0000, 0.0000], [0.5000, 0.0000, 0.0000], [0.0000, 0.0000, 0.5000], [0.0000, 0.5000, 0.0000]]
}

***

Most stable of them? a.

***

## a
{
  "formula": "K2AlB",
  "functional": "PBE",
  "state": "optimized geometry",
  "dos_ef_per_ev_atom": 0.232,
  "crystal_system": "tetragonal",
  "lattice": [[-11.7967, 2.5183, -3.1414], [-3.3954, -11.4490, 3.5727], [-7.9462, -3.7796, 2.0803]],
  "species": ["K", "K", "K", "K", "Al", "Al", "B", "B"],
  "fractional_positions": [[0.3394, 0.6250, 0.2500], [0.3750, 0.5894, 0.7500], [0.4106, 0.1250, 0.2500], [0.8750, 0.6606, 0.7500], [0.7500, 0.2500, 0.5000], [0.0000, 0.0000, 0.0000], [0.2500, 0.7500, 0.5000], [0.5000, 0.5000, 0.0000]]
}

***

## b
{
  "formula": "K2AlB",
  "functional": "PBE",
  "state": "optimized geometry",
  "dos_ef_per_ev_atom": 0.921,
  "crystal_system": "cubic",
  "lattice": [[-2.7085, 3.2859, 3.5379], [-4.8199, 2.2858, -1.4812], [-4.7155, -1.7300, 2.3284]],
  "species": ["B", "Al", "K", "K"],
  "fractional_positions": [[0.0000, 0.0000, 0.0000], [0.5000, 0.5000, 0.5000], [0.2500, 0.2500, 0.2500], [0.7500, 0.7500, 0.7500]]
}

***

Most stable of them? a.

***

## a
{
  "formula": "LaAlB3",
  "functional": "PBE",
  "state": "optimized geometry",
  "dos_ef_per_ev_atom": 0.821,
  "crystal_system": "cubic",
  "lattice": [[-0.8064, -4.6776, -0.2348], [1.1762, 0.0284, -4.6045], [4.5334, -0.8394, 1.1529]],
  "species": ["Al", "La", "B", "B", "B"],
  "fractional_positions": [[0.5000, 0.5000, 0.5000], [0.0000, 0.0000, 0.0000], [0.0000, 0.0000, 0.5000], [0.0000, 0.5000, 0.0000], [0.5000, 0.0000, 0.0000]]
}

***

## b
{
  "formula": "LaAlB3",
  "functional": "PBE",
  "state": "optimized geometry",
  "dos_ef_per_ev_atom": 0.532,
  "crystal_system": "cubic",
  "lattice": [[4.2180, 0.0000, 0.0000], [0.0000, 4.2180, 0.0000], [0.0000, 0.0000, 4.2180]],
  "species": ["La", "B", "B", "B", "Al"],
  "fractional_positions": [[0.5000, 0.5000, 0.5000], [0.0000, 0.0000, 0.5000], [0.0000, 0.5000, 0.0000], [0.5000, 0.0000, 0.0000], [0.0000, 0.0000, 0.0000]]
}

***

Most stable of them? b.

***

## a
{
  "formula": "Li2AlB",
  "functional": "PBE",
  "state": "optimized geometry",
  "dos_ef_per_ev_atom": 0.241,
  "crystal_system": "cubic",
  "lattice": [[-0.8679, -1.1063, 3.7220], [0.3080, 2.6210, 2.9775], [-3.2789, 1.3889, 1.7749]],
  "species": ["Li", "Li", "Al", "B"],
  "fractional_positions": [[0.7500, 0.7500, 0.7500], [0.2500, 0.2500, 0.2500], [0.5000, 0.5000, 0.5000], [0.0000, 0.0000, 0.0000]]
}

***

## b
{
  "formula": "Li2AlB",
  "functional": "PBE",
  "state": "optimized geometry",
  "dos_ef_per_ev_atom": 0.443,
  "crystal_system": "tetragonal",
  "lattice": [[-1.6521, -1.1505, 2.7166], [-2.5448, -1.0193, -1.9794], [1.8179, -8.9878, -0.5967]],
  "species": ["Li", "Li", "Li", "Li", "B", "B", "Al", "Al"],
  "fractional_positions": [[0.1620, 0.6250, 0.2500], [0.5880, 0.1250, 0.2500], [0.3750, 0.4120, 0.7500], [0.8750, 0.8380, 0.7500], [0.2500, 0.7500, 0.5000], [0.5000, 0.5000, 0.0000], [0.7500, 0.2500, 0.5000], [0.0000, 0.0000, 0.0000]]
}

***

Most stable of them? a.

***

## a
{
  "formula": "Li3AlB",
  "functional": "PBE",
  "state": "optimized geometry",
  "dos_ef_per_ev_atom": 0.539,
  "crystal_system": "cubic",
  "lattice": [[-0.7278, 0.7657, -4.0796], [-0.3728, -4.1371, -0.7100], [-4.1341, 0.2383, 0.7822]],
  "species": ["Li", "Li", "Li", "B", "Al"],
  "fractional_positions": [[0.0000, 0.0000, 0.5000], [0.0000, 0.5000, 0.0000], [0.5000, 0.0000, 0.0000], [0.0000, 0.0000, 0.0000], [0.5000, 0.5000, 0.5000]]
}

***

## b
{
  "formula": "Li3AlB",
  "functional": "PBE",
  "state": "optimized geometry",
  "dos_ef_per_ev_atom": 0.679,
  "crystal_system": "cubic",
  "lattice": [[-4.1502, 0.1290, -2.5465], [1.6967, -3.4915, -2.9422], [-1.9033, -3.3939, 2.9299]],
  "species": ["Li", "Li", "Li", "B", "Al"],
  "fractional_positions": [[0.0000, 0.5000, 0.0000], [0.5000, 0.0000, 0.0000], [0.0000, 0.0000, 0.5000], [0.5000, 0.5000, 0.5000], [0.0000, 0.0000, 0.0000]]
}

***

Most stable of them? a.

***

## a
{
  "formula": "LiAlB4",
  "functional": "PBE",
  "state": "optimized geometry",
  "dos_ef_per_ev_atom": 0.487,
  "crystal_system": "cubic",
  "lattice": [[-3.9294, 0.7890, 0.1040], [-2.6508, -2.9208, -0.7180], [-2.2552, -1.4389, 2.9862]],
  "species": ["B", "B", "B", "B", "Li", "Al"],
  "fractional_positions": [[0.6295, 0.6295, 0.6295], [0.1114, 0.6295, 0.6295], [0.6295, 0.6295, 0.1114], [0.6295, 0.1114, 0.6295], [0.0000, 0.0000, 0.0000], [0.2500, 0.2500, 0.2500]]
}

***

## b
{
  "formula": "LiAlB4",
  "functional": "PBE",
  "state": "optimized geometry",
  "dos_ef_per_ev_atom": 0.138,
  "crystal_system": "tetragonal",
  "lattice": [[-1.6511, 0.8117, 2.4979], [-2.4971, 0.4294, -1.7901], [0.7104, -5.5844, 0.3577]],
  "species": ["B", "B", "B", "B", "Li", "Al"],
  "fractional_positions": [[0.6644, 0.1644, 0.3287], [0.8356, 0.3356, 0.6713], [0.5839, 0.5839, 0.1678], [0.4161, 0.4161, 0.8322], [0.0000, 0.0000, 0.0000], [0.2500, 0.7500, 0.5000]]
}

***

Most stable of them? b.

***

## a
{
  "formula": "Li2AlBO4",
  "functional": "PBE",
  "state": "optimized geometry",
  "dos_ef_per_ev_atom": 0.000,
  "crystal_system": "tetragonal",
  "lattice": [[4.7748, -0.4343, -0.6653], [-2.4274, 4.1346, 0.6653], [-2.4274, -1.0548, 4.0528]],
  "species": ["O", "O", "O", "O", "Li", "Li", "B", "Al"],
  "fractional_positions": [[0.9613, 0.5642, 0.1672], [0.3970, 0.8328, 0.7940], [0.0387, 0.2060, 0.6030], [0.6030, 0.3970, 0.4358], [0.0000, 0.0000, 0.0000], [0.5000, 0.7500, 0.2500], [0.0000, 0.5000, 0.5000], [0.5000, 0.2500, 0.7500]]
}

***

## b
{
  "formula": "Li2AlBO4",
  "functional": "PBE",
  "state": "optimized geometry",
  "dos_ef_per_ev_atom": 0.000,
  "crystal_system": "monoclinic",
  "lattice": [[5.0935, 0.0000, 0.0000], [0.0000, 6.4243, 0.0174], [0.0000, 1.1808, 10.3691]],
  "species": ["O", "O", "O", "O", "O", "O", "O", "O", "O", "O", "O", "O", "O", "O", "O", "O", "B", "B", "B", "B", "Li", "Li", "Li", "Li", "Li", "Li", "Li", "Li", "Al", "Al", "Al", "Al"],
  "fractional_positions": [[0.9135, 0.2666, 0.0818], [0.6970, 0.6954, 0.0486], [0.1424, 0.6008, 0.2166], [0.0865, 0.7334, 0.9182], [0.4135, 0.7334, 0.4182], [0.8576, 0.3992, 0.7834], [0.7958, 0.9504, 0.3616], [0.8030, 0.6954, 0.5486], [0.2042, 0.0496, 0.6384], [0.3030, 0.3046, 0.9514], [0.2958, 0.0496, 0.1384], [0.6424, 0.3992, 0.2834], [0.3576, 0.6008, 0.7166], [0.1970, 0.3046, 0.4514], [0.5865, 0.2666, 0.5818], [0.7042, 0.9504, 0.8616], [0.1758, 0.2025, 0.0597], [0.6758, 0.7975, 0.4403], [0.3242, 0.2025, 0.5597], [0.8242, 0.7975, 0.9403], [0.6332, 0.1096, 0.2131], [0.3289, 0.7750, 0.0708], [0.3668, 0.8904, 0.7869], [0.1332, 0.8904, 0.2869], [0.8668, 0.1096, 0.7131], [0.6711, 0.2250, 0.9292], [0.8289, 0.2250, 0.4292], [0.1711, 0.7750, 0.5708], [0.6476, 0.5005, 0.6581], [0.3524, 0.4995, 0.3419], [0.1476, 0.4995, 0.8419], [0.8524, 0.5005, 0.1581]]
}

***

Most stable of them? b.